[1]
Computed, not measured: a relaxed NpReSi2Os crystal at the PBE level of DFT.

POSCAR file:
```
NpReSi2Os
1.0
4.142 0.000 0.000
0.000 4.142 0.000
-2.071 -2.071 4.924
Si Re Np Os
2 1 1 1
Direct
0.378 0.378 0.756
0.622 0.622 0.244
0.250 0.750 0.500
0.000 0.000 0.000
0.750 0.250 0.500
```

ΔE_f (raw) = -0.311 eV/atom
SG = I-4m2, No. 119

***

[2]
Computed, not measured: a relaxed NaCe2Sn crystal at the PBE level of DFT.

POSCAR file:
```
NaCe2Sn
1.0
3.268 0.000 0.000
1.634 2.830 0.000
1.634 0.943 12.552
Sn Ce Na
1 2 1
Direct
0.500 0.500 0.500
0.093 0.093 0.720
0.907 0.907 0.280
0.000 0.000 0.000
```

Energy relative to the elements = 0.01 eV per atom
SG = R-3m, No. 166

***

| no. | Fermi-level density of states (states/eV/cell) | size of the total moment (μB/f.u.) |
| --- | --- | --- |
| 1 | 11.4 | 3.30 |
| 2 | 9.8 | 1.38 |